Below is Ho3Tm3Th2 after structural relaxation, with properties calculated at the PBE level.

Results
formation energy: 0.0221 eV per atom
N(E_F): 17.569 states/eV/cell
calculated density: 9.75 g cm⁻³
VASP energy: -5.23 eV per atom
total magnetic moment: 0.0 μB/cell
energy above the lowest structure with this stoichiometry: 0.000 eV per atom

Cell: 4.994 4.995 20.007 Å, 90.00 90.00 90.00°
Space group Immm (No. 71)
Inequivalent atoms, fractional coordinates:
Ho: 0.000 0.000 0.000 x2
Ho: 0.000 0.500 0.127 x4
Tm: 0.000 0.000 0.500 x2
Tm: 0.000 0.500 0.374 x4
Th: 0.000 0.000 0.250 x4

=====

Below is La2TbHo5 after structural relaxation, with properties calculated at the PBE level.

Results
formation energy: 0.1725 eV per atom
N(E_F): 49.536 states/eV/cell
calculated density: 8.02 g cm⁻³
VASP energy: -4.50 eV per atom
total magnetic moment: 0.0 μB/cell
energy above the lowest structure with this stoichiometry: 0.139 eV per atom

Cell: 16.125 9.908 6.622 Å, 90.00 98.95 90.00°
Space group C2/c (No. 15)
Inequivalent atoms, fractional coordinates:
La: 0.078 0.249 0.113 x8
Tb: 0.250 0.250 0.000 x4
Ho: 0.000 0.434 0.750 x4
Ho: 0.102 0.084 0.654 x8
Ho: 0.198 0.410 0.529 x8

=====

Below is Fe2SiSb after structural relaxation, with properties calculated at the PBE level.

Results
ΔE_f (raw): 0.10 eV per atom
N(E_F): 6.470 states/eV/cell
calculated density: 7.73 g cm⁻³
VASP energy: -6.51 eV per atom
total magnetic moment: 2.5 μB/cell

Cell: 8.380 3.087 4.493 Å, 90.00 104.76 90.00°
Space group Cm (No. 8)
Inequivalent atoms, fractional coordinates:
Fe: 0.000 0.000 0.000 x2
Fe: 0.231 0.000 0.638 x2
Si: 0.009 0.500 0.607 x2
Sb: 0.247 0.500 0.182 x2

=====

Q: Which formula does entry 3 have?
A: Fe2SiSb

=====

Q: calculated density of number 2 (La2TbHo5)?
A: 8.02 g cm⁻³

=====

Q: Number 1 is which compound?
A: Ho3Tm3Th2